Record 1
## SrInSn2H (GGA-PBE)

Data for SrInSn2H after structural relaxation. Values from VASP.

Computed properties:
* electronic total energy: -3.305 eV/atom
* crystal system: tetragonal

Geometry as Quantum ESPRESSO input:
```
&SYSTEM
  ibrav = 0, nat = 5, ntyp = 4
/
ATOMIC_SPECIES
Sn 118.71 Sn.upf
In 114.82 In.upf
Sr 87.62 Sr.upf
H 1.01 H.upf
CELL_PARAMETERS angstrom
-3.8789 0.0106 3.0419
-2.6135 -2.5342 -3.3237
1.5510 -4.2125 1.9924
ATOMIC_POSITIONS crystal
Sn 0.0000 0.5000 0.0000
Sn 0.5000 0.0000 0.0000
In 0.5000 0.5000 0.5000
Sr 0.0000 0.0000 0.5000
H 0.0000 0.0000 0.0000
```

=====

Record 2
## Sr2InSnH (GGA-PBE)

Data for Sr2InSnH after structural relaxation. Values from VASP.

Computed properties:
* excess energy over the best structure of this formula in the dataset: 0.0000 eV/atom
* crystal system: tetragonal

Geometry as Quantum ESPRESSO input:
```
&SYSTEM
  ibrav = 0, nat = 5, ntyp = 4
/
ATOMIC_SPECIES
Sr 87.62 Sr.upf
Sn 118.71 Sn.upf
H 1.01 H.upf
In 114.82 In.upf
CELL_PARAMETERS angstrom
5.1854 0.0000 0.0000
0.0000 5.1854 0.0000
0.0000 0.0000 4.8558
ATOMIC_POSITIONS crystal
Sr 0.5000 0.0000 0.0000
Sr 0.0000 0.5000 0.0000
Sn 0.5000 0.5000 0.5000
H 0.0000 0.0000 0.0000
In 0.0000 0.0000 0.5000
```